1.
The following is a DFT calculation (GGA-PBE) of a geometry-optimized SbTe2Cl structure.

**Distance to the lowest polymorph of the same formula**: 0.379 eV per atom

a b c (Å): 3.418 3.418 9.761
angles (deg): 90.00 90.00 111.29
Positions (direct):
Sb1 0.000 0.000 0.000
Te1 0.500 0.500 0.251
Te2 0.500 0.500 0.749
Cl1 0.000 0.000 0.500


2.
The following is a DFT calculation (GGA-PBE) of a geometry-optimized RbCu2I8 structure.

**Energy**: -2.13 eV per atom

a b c (Å): 9.456 9.456 6.330
angles (deg): 93.10 93.10 129.68
Positions (direct):
Rb1 0.000 0.000 0.000
Cu1 0.252 0.748 0.500
Cu2 0.748 0.252 0.500
I1 0.095 0.386 0.428
I2 0.210 0.790 0.000
I3 0.386 0.095 0.428
I4 0.403 0.403 0.789
I5 0.597 0.597 0.211
I6 0.614 0.905 0.572
I7 0.790 0.210 0.000
I8 0.905 0.614 0.572